# 1
Density functional theory data (GGA-PBE) for a relaxed TbGa6Rh4 crystal.

Summary:
V   182.61 Å³/f.u.
Energy of formation from the pure elements   -638.2 meV/atom
SG   No. 187

a b c (Å): 3.807 7.442 7.442
angles (deg): 120.00 90.00 90.00
Fractional coordinates of all 11 atoms:
Rh 0.500 0.403 0.202
Ga 0.500 0.192 0.808
Ga 0.000 0.532 0.065
Rh 0.500 0.798 0.202
Ga 0.500 0.615 0.808
Tb 0.000 0.000 0.000
Ga 0.000 0.935 0.468
Ga 0.500 0.192 0.385
Rh 0.000 0.333 0.667
Rh 0.500 0.798 0.597
Ga 0.000 0.532 0.468

---

# 2
Density functional theory data (GGA-PBE) for a relaxed TaGa2Rh3 crystal.

Summary:
V   87.50 Å³/f.u.
Energy of formation from the pure elements   -657.6 meV/atom
SG   No. 123

a b c (Å): 2.932 2.932 10.180
angles (deg): 90.00 90.00 90.00
Fractional coordinates of all 6 atoms:
Ga 0.500 0.500 0.158
Ga 0.500 0.500 0.842
Rh 0.000 0.000 0.687
Rh 0.000 0.000 0.000
Ta 0.500 0.500 0.500
Rh 0.000 0.000 0.313

---

The calculation returns the following Fermi-level density of states values, one per record and in order: 6.1, 2.3 states/eV per cell.